# 1
Ho2Mg3Tl3 | PBE-GGA | relaxed

Lattice parameters (Å, degrees): 4.8338 4.9212 8.4325 90.00 90.00 90.00
Fractional positions:
Ho1 0.0000 0.0000 0.2474
Ho2 0.0000 0.0000 0.7526
Mg1 0.0000 0.5000 0.5000
Mg2 0.5000 0.5000 0.2514
Mg3 0.5000 0.5000 0.7486
Tl1 0.0000 0.5000 0.0000
Tl2 0.5000 0.0000 0.0000
Tl3 0.5000 0.0000 0.5000

ΔH_f (0 K): -0.224 eV/atom

---

# 2
HoMg2Tl3 | PBE-GGA | relaxed

Lattice parameters (Å, degrees): 10.9479 10.9479 9.5104 109.21 109.21 18.10
Fractional positions:
Ho1 0.1816 0.1816 0.0292
Ho2 0.8184 0.8184 0.9708
Mg1 0.1892 0.1892 0.3849
Mg2 0.4272 0.4272 0.8498
Mg3 0.5728 0.5728 0.1502
Mg4 0.8108 0.8108 0.6151
Tl1 0.0600 0.0600 0.4408
Tl2 0.2076 0.2076 0.7127
Tl3 0.4350 0.4350 0.1992
Tl4 0.5650 0.5650 0.8008
Tl5 0.7924 0.7924 0.2873
Tl6 0.9400 0.9400 0.5592

ΔH_f (0 K): -0.002 eV/atom

---

# 3
Ho4MgTl3 | PBE-GGA | relaxed

Lattice parameters (Å, degrees): 8.3969 8.3969 5.3446 108.49 108.49 37.11
Fractional positions:
Ho1 0.1249 0.1249 0.1249
Ho2 0.3751 0.3751 0.3753
Ho3 0.6249 0.6249 0.6247
Ho4 0.8751 0.8751 0.8751
Mg1 0.0000 0.0000 0.5000
Tl1 0.2450 0.2450 0.7451
Tl2 0.5000 0.5000 0.0000
Tl3 0.7550 0.7550 0.2549

ΔH_f (0 K): -0.274 eV/atom

---

# 4
Ho6Mg2Tl | PBE-GGA | relaxed

Lattice parameters (Å, degrees): 10.1760 10.1760 4.9952 90.00 90.00 90.00
Fractional positions:
Ho1 0.0071 0.3299 0.0000
Ho2 0.1404 0.8596 0.5000
Ho3 0.1701 0.5071 0.5000
Ho4 0.3299 0.0071 0.0000
Ho5 0.3596 0.3596 0.0000
Ho6 0.4929 0.8299 0.5000
Ho7 0.5071 0.1701 0.5000
Ho8 0.6404 0.6404 0.0000
Ho9 0.6701 0.9929 0.0000
Ho10 0.8299 0.4929 0.5000
Ho11 0.8596 0.1404 0.5000
Ho12 0.9929 0.6701 0.0000
Mg1 0.1846 0.1846 0.5000
Mg2 0.3154 0.6846 0.0000
Mg3 0.6846 0.3154 0.0000
Mg4 0.8154 0.8154 0.5000
Tl1 0.0000 0.0000 0.0000
Tl2 0.5000 0.5000 0.5000

ΔH_f (0 K): -0.073 eV/atom

---

# 5
HoMg5Tl6 | PBE-GGA | relaxed

Lattice parameters (Å, degrees): 8.3359 8.3359 7.3382 90.00 90.00 143.91
Fractional positions:
Ho1 0.0000 0.0000 0.0000
Mg1 0.0000 0.0000 0.5000
Mg2 0.3264 0.6736 0.5000
Mg3 0.3370 0.6630 0.0000
Mg4 0.6630 0.3370 0.0000
Mg5 0.6736 0.3264 0.5000
Tl1 0.1674 0.8326 0.2517
Tl2 0.1674 0.8326 0.7483
Tl3 0.5000 0.5000 0.2675
Tl4 0.5000 0.5000 0.7325
Tl5 0.8326 0.1674 0.2517
Tl6 0.8326 0.1674 0.7483

ΔH_f (0 K): -0.098 eV/atom

---

# 6
HoMgTl2 | PBE-GGA | relaxed

Lattice parameters (Å, degrees): 5.2569 5.2569 5.2569 60.00 60.00 60.00
Fractional positions:
Ho1 0.0000 0.0000 0.0000
Mg1 0.5000 0.5000 0.5000
Tl1 0.2500 0.2500 0.2500
Tl2 0.7500 0.7500 0.7500

ΔH_f (0 K): -0.196 eV/atom

---

# 7
HoMg2Tl | PBE-GGA | relaxed

Lattice parameters (Å, degrees): 3.5210 3.5210 8.3280 90.00 90.00 90.00
Fractional positions:
Ho1 0.0000 0.0000 0.0000
Mg1 0.5000 0.5000 0.2703
Mg2 0.5000 0.5000 0.7297
Tl1 0.0000 0.0000 0.5000

ΔH_f (0 K): -0.067 eV/atom

---

# 8
Ho2MgTl | PBE-GGA | relaxed

Lattice parameters (Å, degrees): 10.6226 10.6226 10.6226 19.38 19.38 19.38
Fractional positions:
Ho1 0.0000 0.0000 0.0000
Ho2 0.1734 0.1734 0.1734
Mg1 0.4203 0.4203 0.4203
Tl1 0.5868 0.5868 0.5868

ΔH_f (0 K): -0.054 eV/atom

---

# 9
HoMg8Tl6 | PBE-GGA | relaxed

Lattice parameters (Å, degrees): 8.0261 8.0261 8.0261 64.93 64.93 64.93
Fractional positions:
Ho1 0.0000 0.0000 0.0000
Mg1 0.1130 0.7700 0.4445
Mg2 0.2300 0.5555 0.8870
Mg3 0.3328 0.3328 0.3328
Mg4 0.4445 0.1130 0.7700
Mg5 0.5555 0.8870 0.2300
Mg6 0.6672 0.6672 0.6672
Mg7 0.7700 0.4445 0.1130
Mg8 0.8870 0.2300 0.5555
Tl1 0.0638 0.4027 0.7330
Tl2 0.2670 0.9362 0.5973
Tl3 0.4027 0.7330 0.0638
Tl4 0.5973 0.2670 0.9362
Tl5 0.7330 0.0638 0.4027
Tl6 0.9362 0.5973 0.2670

ΔH_f (0 K): 0.020 eV/atom

---

# 10
HoMg4Tl7 | PBE-GGA | relaxed

Lattice parameters (Å, degrees): 7.8114 7.8114 9.1803 119.81 119.81 44.67
Fractional positions:
Ho1 0.0000 0.0000 0.0000
Mg1 0.3059 0.3059 0.6639
Mg2 0.4724 0.4724 0.3020
Mg3 0.5276 0.5276 0.6980
Mg4 0.6941 0.6941 0.3361
Tl1 0.0695 0.0695 0.4029
Tl2 0.2036 0.2036 0.8871
Tl3 0.2713 0.2713 0.3069
Tl4 0.5000 0.5000 0.0000
Tl5 0.7287 0.7287 0.6931
Tl6 0.7964 0.7964 0.1129
Tl7 0.9305 0.9305 0.5971

ΔH_f (0 K): 0.022 eV/atom

---

# 11
Ho2Mg3Tl4 | PBE-GGA | relaxed

Lattice parameters (Å, degrees): 8.9237 8.9237 8.4749 90.00 90.00 137.26
Fractional positions:
Ho1 0.1049 0.8951 0.9105
Ho2 0.3951 0.6049 0.4105
Ho3 0.6049 0.3951 0.5895
Ho4 0.8951 0.1049 0.0895
Mg1 0.0000 0.0000 0.5000
Mg2 0.0242 0.4758 0.7500
Mg3 0.4758 0.0242 0.2500
Mg4 0.5000 0.5000 0.0000
Mg5 0.5242 0.9758 0.7500
Mg6 0.9758 0.5242 0.2500
Tl1 0.1766 0.8234 0.5358
Tl2 0.1989 0.3011 0.7500
Tl3 0.3011 0.1989 0.2500
Tl4 0.3234 0.6766 0.0358
Tl5 0.6766 0.3234 0.9642
Tl6 0.6989 0.8011 0.7500
Tl7 0.8011 0.6989 0.2500
Tl8 0.8234 0.1766 0.4642

ΔH_f (0 K): -0.138 eV/atom

---

# 12
HoMgTl6 | PBE-GGA | relaxed

Lattice parameters (Å, degrees): 6.8192 6.8192 4.7489 90.00 90.00 94.53
Fractional positions:
Ho1 0.0000 0.0000 0.0000
Mg1 0.5000 0.5000 0.0000
Tl1 0.0000 0.5000 0.0000
Tl2 0.2387 0.7613 0.5000
Tl3 0.2647 0.2647 0.5000
Tl4 0.5000 0.0000 0.0000
Tl5 0.7353 0.7353 0.5000
Tl6 0.7613 0.2387 0.5000

ΔH_f (0 K): -0.054 eV/atom

---

> Among the records above, which one has the highest ΔH_f (0 K)?

HoMg4Tl7

---

> Which value of ΔH_f (0 K) does entry 1 give?

-0.224 eV/atom

---

Please write out number 5 again, unchanged.
HoMg5Tl6 | PBE-GGA | relaxed

Lattice parameters (Å, degrees): 8.3359 8.3359 7.3382 90.00 90.00 143.91
Fractional positions:
Ho1 0.0000 0.0000 0.0000
Mg1 0.0000 0.0000 0.5000
Mg2 0.3264 0.6736 0.5000
Mg3 0.3370 0.6630 0.0000
Mg4 0.6630 0.3370 0.0000
Mg5 0.6736 0.3264 0.5000
Tl1 0.1674 0.8326 0.2517
Tl2 0.1674 0.8326 0.7483
Tl3 0.5000 0.5000 0.2675
Tl4 0.5000 0.5000 0.7325
Tl5 0.8326 0.1674 0.2517
Tl6 0.8326 0.1674 0.7483

ΔH_f (0 K): -0.098 eV/atom